[1]
## LiHg2Te2 (PBE)

Data for LiHg2Te2 after structural relaxation.

Cell and atoms, written as CIF:
```
data_LiHg2Te2
_chemical_formula_sum 'Li2 Hg4 Te4'
_space_group_name_H-M_alt 'I 4/m m m'
_space_group_IT_number 139
_space_group_name_Hall '-I 4 2'
_cell_length_a 4.130
_cell_length_b 4.130
_cell_length_c 17.396
_cell_angle_alpha 90.00
_cell_angle_beta 90.00
_cell_angle_gamma 90.00
loop_
_atom_site_label
_atom_site_type_symbol
_atom_site_fract_x
_atom_site_fract_y
_atom_site_fract_z
Li1 Li 0.000 0.000 0.000
Hg1 Hg 0.000 0.500 0.250
Te1 Te 0.000 0.000 0.420
```

Values from the calculation:
As for the uncorrected formation energy: -181 meV/atom. For the energy above the most stable polymorph in this dataset, the calculation gives 2.51 kJ per mole of atoms.

***

[2]
## NaPr2USe4 (PBE)

Data for NaPr2USe4 after structural relaxation.

Cell and atoms, written as CIF:
```
data_NaPr2USe4
_chemical_formula_sum 'Na1 Pr2 U1 Se4'
_space_group_name_H-M_alt 'P 1 2/m 1'
_space_group_IT_number 10
_cell_length_a 7.295
_cell_length_b 4.184
_cell_length_c 7.324
_cell_angle_alpha 90.00
_cell_angle_beta 109.11
_cell_angle_gamma 90.00
loop_
_space_group_symop_operation_xyz
'x,y,z'
'-x,-y,-z'
'-x,y,-z'
'x,-y,z'
loop_
_atom_site_label
_atom_site_type_symbol
_atom_site_fract_x
_atom_site_fract_y
_atom_site_fract_z
Na1 Na 0.000 0.000 0.000
Pr1 Pr 0.500 0.000 0.500
Pr2 Pr 0.500 0.500 0.000
U1 U 0.000 0.500 0.500
Se1 Se 0.238 0.000 0.745
Se2 Se 0.242 0.500 0.251
```

Values from the calculation:
As for the uncorrected formation energy: -1519 meV/atom.

***

[3]
## LiCuPO4 (PBE)

Data for LiCuPO4 after structural relaxation.

Cell and atoms, written as CIF:
```
data_LiCuPO4
_chemical_formula_sum 'Li6 Cu6 P6 O24'
_space_group_name_H-M_alt 'P 3 1 c'
_space_group_IT_number 159
_cell_length_a 7.4538
_cell_length_b 7.4538
_cell_length_c 9.7472
_cell_angle_alpha 90.00
_cell_angle_beta 90.00
_cell_angle_gamma 120.00
loop_
_space_group_symop_operation_xyz
'x,y,z'
'-y,x-y,z'
'-x+y,-x,z'
'y,x,z+1/2'
'x-y,-y,z+1/2'
'-x,-x+y,z+1/2'
loop_
_atom_site_label
_atom_site_type_symbol
_atom_site_fract_x
_atom_site_fract_y
_atom_site_fract_z
Li1 Li 0.0670 0.5695 0.0000
Cu1 Cu 0.0485 0.2809 0.7816
P1 P 0.0000 0.0000 0.0145
P2 P 0.3333 0.6667 0.2800
P3 P 0.3333 0.6667 0.6809
O1 O 0.0000 0.0000 0.1796
O2 O 0.0966 0.8706 0.9624
O3 O 0.1131 0.5206 0.3395
O4 O 0.1481 0.4607 0.6242
O5 O 0.3333 0.6667 0.1221
O6 O 0.3333 0.6667 0.8395
```

Values from the calculation:
As for the uncorrected formation energy: -1750 meV/atom. For the energy above the most stable polymorph in this dataset, the calculation gives 5.44 kJ per mole of atoms.

***

[4]
## SrPtW2 (PBE)

Data for SrPtW2 after structural relaxation.

Cell and atoms, written as CIF:
```
data_SrPtW2
_chemical_formula_sum 'Sr2 Pt2 W4'
_space_group_name_H-M_alt 'I 4/m m m'
_space_group_IT_number 139
_space_group_name_Hall '-I 4 2'
_cell_length_a 3.961
_cell_length_b 3.961
_cell_length_c 9.944
_cell_angle_alpha 90.00
_cell_angle_beta 90.00
_cell_angle_gamma 90.00
loop_
_atom_site_label
_atom_site_type_symbol
_atom_site_fract_x
_atom_site_fract_y
_atom_site_fract_z
Sr1 Sr 0.000 0.000 0.000
Pt1 Pt 0.000 0.000 0.500
W1 W 0.000 0.500 0.250
```

Values from the calculation:
For the energy above the most stable polymorph in this dataset, the calculation gives 48.74 kJ per mole of atoms. The formation energy comes out at 0.83 eV/atom.

***

[5]
## CeSmMg2Rh4 (PBE)

Data for CeSmMg2Rh4 after structural relaxation.

Cell and atoms, written as CIF:
```
data_CeSmMg2Rh4
_chemical_formula_sum 'Ce3 Sm3 Mg6 Rh12'
_space_group_name_H-M_alt 'R -3 m'
_space_group_IT_number 166
_space_group_name_Hall '-R 3 2"'
_cell_length_a 4.7069
_cell_length_b 4.7069
_cell_length_c 22.9595
_cell_angle_alpha 90.00
_cell_angle_beta 90.00
_cell_angle_gamma 120.00
loop_
_atom_site_label
_atom_site_type_symbol
_atom_site_fract_x
_atom_site_fract_y
_atom_site_fract_z
Ce1 Ce 0.0000 0.0000 0.0000
Sm1 Sm 0.0000 0.0000 0.5000
Mg1 Mg 0.0000 0.0000 0.2483
Rh1 Rh 0.0000 0.0000 0.1200
Rh2 Rh 0.0000 0.0000 0.3731
```

Values from the calculation:
The formation energy comes out at -0.66 eV/atom.

***

[6]
## ReSn3N (PBE)

Data for ReSn3N after structural relaxation.

Cell and atoms, written as CIF:
```
data_ReSn3N
_chemical_formula_sum 'Re1 Sn3 N1'
_space_group_name_H-M_alt 'P m -3 m'
_space_group_IT_number 221
_space_group_name_Hall '-P 4 2 3'
_cell_length_a 4.573
_cell_length_b 4.573
_cell_length_c 4.573
_cell_angle_alpha 90.00
_cell_angle_beta 90.00
_cell_angle_gamma 90.00
loop_
_atom_site_label
_atom_site_type_symbol
_atom_site_fract_x
_atom_site_fract_y
_atom_site_fract_z
Re1 Re 0.000 0.000 0.000
Sn1 Sn 0.000 0.500 0.500
N1 N 0.500 0.500 0.500
```

Values from the calculation:
As for the uncorrected formation energy: 1024 meV/atom. For the energy above the most stable polymorph in this dataset, the calculation gives 0.00 kJ per mole of atoms.

***

[7]
## YCdAg2 (PBE)

Data for YCdAg2 after structural relaxation.

Cell and atoms, written as CIF:
```
data_YCdAg2
_chemical_formula_sum 'Y3 Cd3 Ag6'
_space_group_name_H-M_alt 'R -3 m'
_space_group_IT_number 166
_space_group_name_Hall '-R 3 2"'
_cell_length_a 3.2485
_cell_length_b 3.2485
_cell_length_c 29.3098
_cell_angle_alpha 90.00
_cell_angle_beta 90.00
_cell_angle_gamma 120.00
loop_
_atom_site_label
_atom_site_type_symbol
_atom_site_fract_x
_atom_site_fract_y
_atom_site_fract_z
Y1 Y 0.0000 0.0000 0.0000
Cd1 Cd 0.0000 0.0000 0.5000
Ag1 Ag 0.0000 0.0000 0.2470
```

Values from the calculation:
The formation energy comes out at 0.01 eV/atom.

***

[8]
## YTcCl (PBE)

Data for YTcCl after structural relaxation.

Cell and atoms, written as CIF:
```
data_YTcCl
_chemical_formula_sum 'Y4 Tc4 Cl4'
_space_group_name_H-M_alt 'F -4 3 m'
_space_group_IT_number 216
_space_group_name_Hall 'F -4 2 3'
_cell_length_a 6.395
_cell_length_b 6.395
_cell_length_c 6.395
_cell_angle_alpha 90.00
_cell_angle_beta 90.00
_cell_angle_gamma 90.00
loop_
_atom_site_label
_atom_site_type_symbol
_atom_site_fract_x
_atom_site_fract_y
_atom_site_fract_z
Y1 Y 0.000 0.000 0.000
Tc1 Tc 0.000 0.000 0.500
Cl1 Cl 0.250 0.250 0.750
```

Values from the calculation:
As for the uncorrected formation energy: 369 meV/atom. For the energy above the most stable polymorph in this dataset, the calculation gives 138.58 kJ per mole of atoms.

***

[9]
## LaCe2I6 (PBE)

Data for LaCe2I6 after structural relaxation.

Cell and atoms, written as CIF:
```
data_LaCe2I6
_chemical_formula_sum 'La2 Ce4 I12'
_space_group_name_H-M_alt 'C 1 2/m 1'
_space_group_IT_number 12
_cell_length_a 17.533
_cell_length_b 4.256
_cell_length_c 11.628
_cell_angle_alpha 90.00
_cell_angle_beta 114.56
_cell_angle_gamma 90.00
loop_
_space_group_symop_operation_xyz
'x,y,z'
'-x,-y,-z'
'-x,y,-z'
'x,-y,z'
'x+1/2,y+1/2,z'
'-x+1/2,-y+1/2,-z'
'-x+1/2,y+1/2,-z'
'x+1/2,-y+1/2,z'
loop_
_atom_site_label
_atom_site_type_symbol
_atom_site_fract_x
_atom_site_fract_y
_atom_site_fract_z
La1 La 0.000 0.000 0.000
Ce1 Ce 0.178 0.500 0.351
I1 I 0.026 0.000 0.291
I2 I 0.150 0.500 0.053
I3 I 0.179 0.500 0.627
```

Values from the calculation:
As for the uncorrected formation energy: -1282 meV/atom. For the energy above the most stable polymorph in this dataset, the calculation gives 0.00 kJ per mole of atoms.

***

[10]
## BaCaGdSbO6 (PBE)

Data for BaCaGdSbO6 after structural relaxation.

Cell and atoms, written as CIF:
```
data_BaCaGdSbO6
_chemical_formula_sum 'Ba2 Ca2 Gd2 Sb2 O12'
_space_group_name_H-M_alt 'P -1'
_space_group_IT_number 2
_cell_length_a 5.928
_cell_length_b 5.932
_cell_length_c 8.464
_cell_angle_alpha 89.92
_cell_angle_beta 89.99
_cell_angle_gamma 89.74
loop_
_space_group_symop_operation_xyz
'x,y,z'
'-x,-y,-z'
loop_
_atom_site_label
_atom_site_type_symbol
_atom_site_fract_x
_atom_site_fract_y
_atom_site_fract_z
Ba1 Ba 0.012 0.486 0.250
Ca1 Ca 0.485 0.018 0.750
Gd1 Gd 0.000 0.000 0.500
Gd2 Gd 0.500 0.500 0.000
Sb1 Sb 0.000 0.000 0.000
Sb2 Sb 0.500 0.500 0.500
O1 O 0.077 0.032 0.766
O2 O 0.194 0.724 0.005
O3 O 0.224 0.694 0.501
O4 O 0.280 0.184 0.055
O5 O 0.316 0.219 0.446
O6 O 0.464 0.426 0.734
```

Values from the calculation:
As for the uncorrected formation energy: -2608 meV/atom. For the energy above the most stable polymorph in this dataset, the calculation gives 0.00 kJ per mole of atoms.

***

[11]
## ZnCoS2 (PBE)

Data for ZnCoS2 after structural relaxation.

Cell and atoms, written as CIF:
```
data_ZnCoS2
_chemical_formula_sum 'Zn4 Co4 S8'
_space_group_name_H-M_alt 'I -4 2 d'
_space_group_IT_number 122
_space_group_name_Hall 'I -4 2bw'
_cell_length_a 5.212
_cell_length_b 5.212
_cell_length_c 10.448
_cell_angle_alpha 90.00
_cell_angle_beta 90.00
_cell_angle_gamma 90.00
loop_
_atom_site_label
_atom_site_type_symbol
_atom_site_fract_x
_atom_site_fract_y
_atom_site_fract_z
Zn1 Zn 0.000 0.000 0.000
Co1 Co 0.000 0.000 0.500
S1 S 0.216 0.250 0.625
```

Values from the calculation:
As for the uncorrected formation energy: -409 meV/atom.

***

[12]
## TbZr3O (PBE)

Data for TbZr3O after structural relaxation.

Cell and atoms, written as CIF:
```
data_TbZr3O
_chemical_formula_sum 'Tb1 Zr3 O1'
_space_group_name_H-M_alt 'P m -3 m'
_space_group_IT_number 221
_space_group_name_Hall '-P 4 2 3'
_cell_length_a 4.645
_cell_length_b 4.645
_cell_length_c 4.645
_cell_angle_alpha 90.00
_cell_angle_beta 90.00
_cell_angle_gamma 90.00
loop_
_atom_site_label
_atom_site_type_symbol
_atom_site_fract_x
_atom_site_fract_y
_atom_site_fract_z
Tb1 Tb 0.000 0.000 0.000
Zr1 Zr 0.000 0.500 0.500
O1 O 0.500 0.500 0.500
```

Values from the calculation:
As for the uncorrected formation energy: -959 meV/atom.